1.
## K5ScO4 (PBE-GGA)

Data for a geometry-optimized K5ScO4 structure.

The symmetry is Pmmn. The density of states at the Fermi level is 0.00 states/eV per cell. For the uncorrected formation energy, the calculation gives -1.7611 eV per atom.

Cell lengths 8.0741, 8.4933, 6.2767 Å; angles 90.00, 90.00, 90.00 degrees
Closest atoms and distances in Å follow each position.
Element x y z (fractional)
K  0.0132  0.0604  0.2403  4 O 2.68-2.78
K  0.0132  0.4396  0.2403  4 O 2.68-2.78
K  0.2500  0.7500  0.3285  4 O 2.68-2.86
K  0.4868  0.0604  0.2403  4 O 2.68-2.78
K  0.4868  0.4396  0.2403  4 O 2.68-2.78
K  0.5132  0.5604  0.7597  4 O 2.68-2.78
K  0.5132  0.9396  0.7597  4 O 2.68-2.78
K  0.7500  0.2500  0.6715  4 O 2.68-2.86
K  0.9868  0.5604  0.7597  4 O 2.68-2.78
K  0.9868  0.9396  0.7597  4 O 2.68-2.78
Sc  0.2500  0.2500  0.7135  4 O 2.03-2.04
Sc  0.7500  0.7500  0.2865  4 O 2.03-2.04
O  0.0377  0.2500  0.8856  1 Sc 2.03
O  0.2500  0.0478  0.5396  1 Sc 2.04
O  0.2500  0.4522  0.5396  1 Sc 2.04
O  0.4623  0.2500  0.8856  1 Sc 2.03
O  0.5377  0.7500  0.1144  1 Sc 2.03
O  0.7500  0.5478  0.4604  1 Sc 2.04
O  0.7500  0.9522  0.4604  1 Sc 2.04
O  0.9623  0.7500  0.1144  1 Sc 2.03

=====

2.
## CaY3C (PBE-GGA)

Data for a geometry-optimized CaY3C structure.

The symmetry is Pm-3m. Its formation energy is 11.5 eV per formula unit. The density of states at the Fermi level is 5.90 states/eV per cell.

Cell lengths 5.4437, 5.4437, 5.4437 Å; angles 90.00, 90.00, 90.00 degrees
Closest atoms and distances in Å follow each position.
Element x y z (fractional)
Ca  0.0000  0.0000  0.0000  6 Y 2.72
Y  0.0000  0.0000  0.5000  2 Ca 2.72
Y  0.0000  0.5000  0.0000  2 Ca 2.72
Y  0.5000  0.0000  0.0000  2 Ca 2.72
C  0.5000  0.5000  0.5000  12 Y 3.85